First-principles (PBE) data for an optimized crystal structure of K2BaPb4, as listed in Alexandria via LeMat-Bulk.

Mass density, Mg/m³: 6.4
Space-group type: No. 15
Energy of formation from the pure elements, meV per atom: -331

CIF file:
```
data_K2BaPb4
_chemical_formula_sum 'K4 Ba2 Pb8'
_cell_length_a 6.9955
_cell_length_b 7.3899
_cell_length_c 11.1997
_cell_angle_alpha 109.26
_cell_angle_beta 92.55
_cell_angle_gamma 90.00
_symmetry_space_group_name_H-M 'P 1'
_symmetry_Int_Tables_number 1
loop_
_symmetry_equiv_pos_as_xyz
'x,y,z'
loop_
_atom_site_label
_atom_site_fract_x
_atom_site_fract_y
_atom_site_fract_z
Pb1 0.7662 0.7890 0.1482
Pb2 0.7338 0.6409 0.8518
Pb3 0.2338 0.2110 0.8518
Pb4 0.2662 0.3591 0.1482
Pb5 0.0099 0.1614 0.2941
Pb6 0.4901 0.8673 0.7059
Pb7 0.9901 0.8386 0.7059
Pb8 0.5099 0.1327 0.2941
K1 0.2180 0.7969 0.4017
K2 0.2820 0.3953 0.5983
K3 0.7820 0.2031 0.5983
K4 0.7180 0.6047 0.4017
Ba1 0.7500 0.2167 0.0000
Ba2 0.2500 0.7833 0.0000
```

=====

First-principles (PBE) data for an optimized crystal structure of BeSnBr3, as listed in Alexandria via LeMat-Bulk.

Mass density, Mg/m³: 5.1
Energy, eV/atom: -2.82
Space-group type: No. 221

CIF file:
```
data_BeSnBr3
_chemical_formula_sum 'Be1 Sn1 Br3'
_cell_length_a 4.9133
_cell_length_b 4.9133
_cell_length_c 4.9133
_cell_angle_alpha 90.00
_cell_angle_beta 90.00
_cell_angle_gamma 90.00
_symmetry_space_group_name_H-M 'P 1'
_symmetry_Int_Tables_number 1
loop_
_symmetry_equiv_pos_as_xyz
'x,y,z'
loop_
_atom_site_label
_atom_site_fract_x
_atom_site_fract_y
_atom_site_fract_z
Be1 0.0000 0.0000 0.0000
Sn1 0.5000 0.5000 0.5000
Br1 0.0000 0.5000 0.0000
Br2 0.0000 0.0000 0.5000
Br3 0.5000 0.0000 0.0000
```

=====

Please write out number 2 again, unchanged.
First-principles (PBE) data for an optimized crystal structure of BeSnBr3, as listed in Alexandria via LeMat-Bulk.

Mass density, Mg/m³: 5.1
Energy, eV/atom: -2.82
Space-group type: No. 221

CIF file:
```
data_BeSnBr3
_chemical_formula_sum 'Be1 Sn1 Br3'
_cell_length_a 4.9133
_cell_length_b 4.9133
_cell_length_c 4.9133
_cell_angle_alpha 90.00
_cell_angle_beta 90.00
_cell_angle_gamma 90.00
_symmetry_space_group_name_H-M 'P 1'
_symmetry_Int_Tables_number 1
loop_
_symmetry_equiv_pos_as_xyz
'x,y,z'
loop_
_atom_site_label
_atom_site_fract_x
_atom_site_fract_y
_atom_site_fract_z
Be1 0.0000 0.0000 0.0000
Sn1 0.5000 0.5000 0.5000
Br1 0.0000 0.5000 0.0000
Br2 0.0000 0.0000 0.5000
Br3 0.5000 0.0000 0.0000
```

=====

- Which value of mass density does entry 2 give?
  5.1 Mg/m³

=====

- What is the formula in the first record?
  K2BaPb4